1.
This record from Alexandria via LeMat-Bulk describes crystalline AgAuI2 at its relaxed geometry. The functional is PBE.

It has space group I-42d (No. 122), with a = 6.571 Å, b = 6.571 Å, c = 13.146 Å, α = 90.00°, β = 90.00° and γ = 90.00°. The distinct sites, in fractional coordinates, are Ag at (0.000, 0.000, 0.000), Au at (0.000, 0.000, 0.500) and I at (0.245, 0.250, 0.625).

The relative energy among the computed polymorphs comes out at 0.0080 eV per atom. Its uncorrected formation energy is -37 kJ/mol of formula units. The density is 6.5 g/cm3. The density of states at the Fermi level comes out at 0.000 states/eV per cell.



2.
This record from Alexandria via LeMat-Bulk describes crystalline Ag2Au3I6 at its relaxed geometry. The functional is PBE.

It has space group C2/c (No. 15), with a = 13.780 Å, b = 7.491 Å, c = 17.213 Å, α = 90.00°, β = 106.07° and γ = 90.00°. The distinct sites, in fractional coordinates, are Ag at (0.092, 0.248, 0.008), Au at (0.000, 0.039, 0.250), Au at (0.160, 0.418, 0.749), I at (0.053, 0.069, 0.405), I at (0.113, 0.414, 0.593) and I at (0.215, 0.435, 0.904).

Its uncorrected formation energy is -55 kJ/mol of formula units. The density is 6.1 g/cm3. The density of states at the Fermi level comes out at 31.226 states/eV per cell.



3.
This record from Alexandria via LeMat-Bulk describes crystalline Ag2AuI4 at its relaxed geometry. The functional is PBE.

It has space group P-42m (No. 111), with a = 6.458 Å, b = 6.458 Å, c = 6.255 Å, α = 90.00°, β = 90.00° and γ = 90.00°. The distinct sites, in fractional coordinates, are Ag at (0.000, 0.500, 0.000), Au at (0.000, 0.000, 0.500) and I at (0.259, 0.259, 0.734).

Its uncorrected formation energy is -79 kJ/mol of formula units. The density is 5.9 g/cm3. The density of states at the Fermi level comes out at 7.299 states/eV per cell.



4.
This record from Alexandria via LeMat-Bulk describes crystalline Ag2AuI at its relaxed geometry. The functional is PBE.

It has space group R-3m (No. 166, hexagonal axes), with a = 3.3096 Å, b = 3.3096 Å, c = 29.8346 Å, α = 90.00°, β = 90.00° and γ = 120.00°. The distinct sites, in fractional coordinates, are Ag at (0.0000, 0.0000, 0.0964), Au at (0.0000, 0.0000, 0.5000) and I at (0.0000, 0.0000, 0.0000).

The relative energy among the computed polymorphs comes out at 0.0223 eV per atom. Its uncorrected formation energy is 93 kJ/mol of formula units. The density is 9.5 g/cm3. The density of states at the Fermi level comes out at 3.666 states/eV per cell.



5.
This record from Alexandria via LeMat-Bulk describes crystalline Ag5Au3I12 at its relaxed geometry. The functional is PBE.

It has space group Ia-3d (No. 230), with a = 18.180 Å, b = 18.180 Å, c = 18.180 Å, α = 90.00°, β = 90.00° and γ = 90.00°. The distinct sites, in fractional coordinates, are Ag at (0.000, 0.000, 0.000), Ag at (0.000, 0.250, 0.375), Au at (0.000, 0.250, 0.125) and I at (0.011, 0.038, 0.342).

Its uncorrected formation energy is -76 kJ/mol of formula units. The density is 5.9 g/cm3. The density of states at the Fermi level comes out at 57.456 states/eV per cell.



6.
This record from Alexandria via LeMat-Bulk describes crystalline Ag2Au2I at its relaxed geometry. The functional is PBE.

It has space group I4/mmm (No. 139), with a = 4.103 Å, b = 4.103 Å, c = 13.496 Å, α = 90.00°, β = 90.00° and γ = 90.00°. The distinct sites, in fractional coordinates, are Ag at (0.000, 0.500, 0.250), Au at (0.000, 0.000, 0.105) and I at (0.000, 0.000, 0.500).

The relative energy among the computed polymorphs comes out at 0.1396 eV per atom. Its uncorrected formation energy is 102 kJ/mol of formula units. The density is 10.8 g/cm3. The density of states at the Fermi level comes out at 4.293 states/eV per cell.